[1]
The following is a PBE calculation of a geometry-optimized PrNdBiS structure, from Alexandria. Values from VASP.

## Properties
As for the formation energy without anion corrections: -1.182 eV/atom. As for the total moment: 0.00 μB per atom. The density of states at the Fermi level comes out at 0.90 states/eV/atom. The theoretical density comes out at 6.75 Mg/m³. The crystal system is trigonal.

Quantum ESPRESSO input file:
```
&SYSTEM
  ibrav = 0, nat = 8, ntyp = 4
/
ATOMIC_SPECIES
Pr 140.91 Pr.upf
Nd 144.24 Nd.upf
Bi 208.98 Bi.upf
S 32.06 S.upf
CELL_PARAMETERS angstrom
2.5825 1.4910 11.1989
-2.5825 1.4910 11.1989
0.0000 -2.9820 11.1989
ATOMIC_POSITIONS crystal
Pr 0.2054 0.2054 0.2054
Pr 0.7946 0.7946 0.7946
Nd 0.3770 0.3770 0.3770
Nd 0.6230 0.6230 0.6230
Bi 0.1021 0.1021 0.1021
Bi 0.8979 0.8979 0.8979
S 0.2953 0.2953 0.2953
S 0.7047 0.7047 0.7047
```

[2]
The following is a PBE calculation of a geometry-optimized PmYTmCd structure, from Alexandria. Values from VASP.

## Properties
The energy above the lowest structure with this stoichiometry is 112 meV per atom. As for the total moment: 0.00 μB per atom. The density of states at the Fermi level comes out at 1.32 states/eV/atom. The theoretical density comes out at 7.37 Mg/m³. The crystal system is cubic.

Quantum ESPRESSO input file:
```
&SYSTEM
  ibrav = 0, nat = 4, ntyp = 4
/
ATOMIC_SPECIES
Pm 145.00 Pm.upf
Y 88.91 Y.upf
Tm 168.93 Tm.upf
Cd 112.41 Cd.upf
CELL_PARAMETERS angstrom
0.0000 3.8721 3.8721
3.8721 0.0000 3.8721
3.8721 3.8721 0.0000
ATOMIC_POSITIONS crystal
Pm 0.0000 0.0000 0.0000
Y 0.5000 0.5000 0.5000
Tm 0.7500 0.7500 0.7500
Cd 0.2500 0.2500 0.2500
```